Computed, not measured: Sm4Ho2Mg after structural relaxation at the PBE level of DFT.

Structure (POSCAR):
```
Sm4Ho2Mg
1.0
5.625 0.000 0.000
2.812 4.871 0.000
2.812 1.624 8.082
Sm Ho Mg
4 2 1
direct
0.788 0.788 0.635 Sm
0.932 0.932 0.203 Sm
0.212 0.212 0.365 Sm
0.068 0.068 0.797 Sm
0.641 0.641 0.077 Ho
0.359 0.359 0.923 Ho
0.500 0.500 0.500 Mg
```

Properties
formation energy	0.08	eV/atom



Computed, not measured: Sm4HoMg2 after structural relaxation at the PBE level of DFT.

Structure (POSCAR):
```
Sm4HoMg2
1.0
-0.189 5.129 -2.208
-3.658 1.160 -4.061
-7.299 4.503 4.018
Sm Ho Mg
4 1 2
direct
0.743 0.743 0.770 Sm
0.869 0.869 0.392 Sm
0.257 0.257 0.230 Sm
0.131 0.131 0.608 Sm
0.500 0.500 0.500 Ho
0.622 0.622 0.135 Mg
0.378 0.378 0.865 Mg
```

Properties
formation energy	0.27	eV/atom



Computed, not measured: Sm2Ho5Mg after structural relaxation at the PBE level of DFT.

Structure (POSCAR):
```
Sm2Ho5Mg
1.0
-6.287 -2.825 -4.721
12.162 -6.461 -6.637
2.257 -10.995 -0.889
Sm Ho Mg
8 20 4
direct
0.569 0.087 0.774 Sm
0.895 0.168 0.880 Sm
0.741 0.381 0.670 Sm
0.893 0.561 0.222 Sm
0.107 0.439 0.778 Sm
0.259 0.619 0.330 Sm
0.105 0.832 0.120 Sm
0.431 0.913 0.226 Sm
0.848 0.927 0.236 Ho
0.342 0.024 0.554 Ho
0.901 0.050 0.585 Ho
0.613 0.203 0.114 Ho
0.722 0.268 0.348 Ho
0.295 0.156 0.966 Ho
0.419 0.366 0.527 Ho
0.039 0.334 0.463 Ho
0.175 0.482 0.045 Ho
0.484 0.428 0.885 Ho
0.516 0.572 0.115 Ho
0.825 0.518 0.955 Ho
0.961 0.666 0.537 Ho
0.581 0.634 0.473 Ho
0.705 0.844 0.034 Ho
0.278 0.732 0.652 Ho
0.387 0.797 0.886 Ho
0.099 0.950 0.415 Ho
0.658 0.976 0.446 Ho
0.152 0.073 0.764 Ho
0.039 0.209 0.168 Mg
0.342 0.283 0.288 Mg
0.658 0.717 0.712 Mg
0.961 0.791 0.832 Mg
```

Properties
formation energy	0.09	eV/atom



Computed, not measured: Sm3Ho6Mg after structural relaxation at the PBE level of DFT.

Structure (POSCAR):
```
Sm3Ho6Mg
1.0
9.320 0.000 0.000
0.000 8.370 0.524
0.000 -1.357 8.276
Sm Ho Mg
6 12 2
direct
0.457 0.934 0.688 Sm
0.957 0.688 0.934 Sm
0.321 0.359 0.641 Sm
0.821 0.641 0.359 Sm
0.957 0.066 0.312 Sm
0.457 0.312 0.066 Sm
0.149 0.733 0.611 Ho
0.649 0.611 0.733 Ho
0.351 0.681 0.958 Ho
0.851 0.958 0.681 Ho
0.154 0.051 0.949 Ho
0.649 0.246 0.754 Ho
0.149 0.754 0.246 Ho
0.654 0.949 0.051 Ho
0.351 0.042 0.319 Ho
0.851 0.319 0.042 Ho
0.149 0.389 0.267 Ho
0.649 0.267 0.389 Ho
0.948 0.374 0.626 Mg
0.448 0.626 0.374 Mg
```

Properties
formation energy	0.20	eV/atom



Computed, not measured: Sm2HoMg4 after structural relaxation at the PBE level of DFT.

Structure (POSCAR):
```
Sm2HoMg4
1.0
5.160 0.000 -1.645
-0.524 5.134 -1.645
-0.223 -0.247 8.218
Sm Ho Mg
2 1 4
direct
0.748 0.748 0.496 Sm
0.252 0.252 0.504 Sm
0.000 0.000 0.000 Ho
0.386 0.886 0.772 Mg
0.886 0.386 0.772 Mg
0.614 0.114 0.228 Mg
0.114 0.614 0.228 Mg
```

Properties
formation energy	0.13	eV/atom



Computed, not measured: Sm5HoMg4 after structural relaxation at the PBE level of DFT.

Structure (POSCAR):
```
Sm5HoMg4
1.0
-2.710 -2.418 -1.098
2.600 -2.735 -0.394
-2.902 -5.554 19.392
Sm Ho Mg
5 1 4
direct
0.500 0.500 0.116 Sm
0.500 0.500 0.309 Sm
0.500 0.500 0.500 Sm
0.500 0.500 0.691 Sm
0.500 0.500 0.884 Sm
0.000 0.000 0.000 Ho
0.000 0.000 0.212 Mg
0.000 0.000 0.404 Mg
0.000 0.000 0.596 Mg
0.000 0.000 0.788 Mg
```

Properties
formation energy	-0.07	eV/atom



Computed, not measured: Sm2HoMg4 after structural relaxation at the PBE level of DFT.

Structure (POSCAR):
```
Sm2HoMg4
1.0
5.438 0.000 0.000
0.000 6.020 0.000
0.000 -3.010 6.639
Sm Ho Mg
2 1 4
direct
0.500 0.135 0.270 Sm
0.500 0.865 0.730 Sm
0.000 0.500 0.000 Ho
0.500 0.614 0.228 Mg
0.000 0.734 0.469 Mg
0.500 0.386 0.772 Mg
0.000 0.266 0.531 Mg
```

Properties
formation energy	0.37	eV/atom



Computed, not measured: Sm4HoMg3 after structural relaxation at the PBE level of DFT.

Structure (POSCAR):
```
Sm4HoMg3
1.0
-2.366 2.503 -1.674
-4.132 -1.731 3.253
2.758 7.690 7.597
Mg Ho Sm
3 1 4
direct
0.500 0.000 0.251 Mg
0.500 0.500 0.500 Mg
0.500 0.000 0.749 Mg
0.500 0.500 0.000 Ho
0.000 0.000 0.500 Sm
0.000 0.500 0.740 Sm
0.000 0.000 0.000 Sm
0.000 0.500 0.260 Sm
```

Properties
formation energy	-0.03	eV/atom



Computed, not measured: Sm2Ho2Mg15 after structural relaxation at the PBE level of DFT.

Structure (POSCAR):
```
Sm2Ho2Mg15
1.0
7.915 -0.039 -0.035
0.988 7.853 -0.035
0.988 0.867 7.805
Sm Ho Mg
2 2 15
direct
0.330 0.330 0.330 Sm
0.670 0.670 0.670 Sm
0.100 0.100 0.100 Ho
0.900 0.900 0.900 Ho
0.500 0.000 0.000 Mg
0.000 0.000 0.500 Mg
0.000 0.500 0.000 Mg
0.000 0.702 0.298 Mg
0.702 0.298 0.000 Mg
0.298 0.000 0.702 Mg
0.298 0.702 0.000 Mg
0.702 0.000 0.298 Mg
0.000 0.298 0.702 Mg
0.156 0.643 0.643 Mg
0.643 0.643 0.156 Mg
0.643 0.156 0.643 Mg
0.844 0.357 0.357 Mg
0.357 0.357 0.844 Mg
0.357 0.844 0.357 Mg
```

Properties
formation energy	0.01	eV/atom



Computed, not measured: Sm6Ho2Mg after structural relaxation at the PBE level of DFT.

Structure (POSCAR):
```
Sm6Ho2Mg
1.0
-0.387 5.653 2.141
-6.025 -6.457 7.401
3.284 -6.421 8.987
Sm Ho Mg
12 4 2
direct
0.426 0.654 0.504 Sm
0.074 0.496 0.346 Sm
0.574 0.346 0.496 Sm
0.926 0.504 0.654 Sm
0.920 0.920 0.419 Sm
0.580 0.581 0.080 Sm
0.080 0.080 0.581 Sm
0.420 0.419 0.920 Sm
0.265 0.845 0.997 Sm
0.235 0.003 0.155 Sm
0.735 0.155 0.003 Sm
0.765 0.997 0.845 Sm
0.450 0.830 0.670 Ho
0.050 0.330 0.170 Ho
0.550 0.170 0.330 Ho
0.950 0.670 0.830 Ho
0.250 0.249 0.751 Mg
0.750 0.751 0.249 Mg
```

Properties
formation energy	0.07	eV/atom



Computed, not measured: Sm5Ho2Mg5 after structural relaxation at the PBE level of DFT.

Structure (POSCAR):
```
Sm5Ho2Mg5
1.0
-1.156 -2.805 -1.753
3.976 -3.280 6.128
-15.853 6.630 -0.153
Sm Ho Mg
5 2 5
direct
0.500 0.000 0.500 Sm
0.706 0.412 0.058 Sm
0.739 0.479 0.305 Sm
0.261 0.521 0.695 Sm
0.294 0.588 0.942 Sm
0.013 0.026 0.825 Ho
0.987 0.974 0.175 Ho
0.140 0.279 0.426 Mg
0.599 0.199 0.730 Mg
0.401 0.801 0.270 Mg
0.860 0.721 0.574 Mg
0.000 0.000 0.000 Mg
```

Properties
formation energy	0.08	eV/atom



Computed, not measured: SmHo2Mg4 after structural relaxation at the PBE level of DFT.

Structure (POSCAR):
```
SmHo2Mg4
1.0
-0.240 -3.152 -4.338
-1.049 -4.231 3.132
-6.495 5.032 0.023
Sm Ho Mg
1 2 4
direct
0.000 0.000 0.000 Sm
0.750 0.750 0.500 Ho
0.250 0.250 0.500 Ho
0.381 0.881 0.762 Mg
0.881 0.381 0.762 Mg
0.619 0.119 0.238 Mg
0.119 0.619 0.238 Mg
```

Properties
formation energy	0.14	eV/atom